The following is a DFT calculation (PBE) of Ca4I5N2 after structural relaxation.

abc: 4.143 8.483 20.876
angles: 90.00 90.00 90.00
Space group Immm (No. 71)
Unique sites:
Ca  0.000  0.000  0.139 (multiplicity 4)
Ca  0.000  0.305  0.500 (multiplicity 4)
I  0.000  0.237  0.348 (multiplicity 8)
I  0.000  0.500  0.000 (multiplicity 2)
N  0.000  0.000  0.032 (multiplicity 4)

Results
- energy relative to the elements, uncorrected (eV per atom) = -1.23
- crystal system = orthorhombic